Density functional theory data (PBE-GGA) for CaAcAsRh after structural relaxation.

The space group is F-43m (No. 216) and the conventional cell measures 7.365, 7.365 and 7.365 Å, with angles of 90.00, 90.00 and 90.00 degrees. The distinct sites, in fractional coordinates, are Ca at (0.000, 0.000, 0.000), Ac at (0.000, 0.000, 0.500), As at (0.250, 0.250, 0.750) and Rh at (0.250, 0.250, 0.250).

For the total moment, the calculation gives 0.017 μB per cell. For the density of states at the Fermi level, the calculation gives 18.0 states/eV/cell. The formation energy is -2.7 eV/f.u.